No. 1
Material: LiTb3Tm3Se8
Method: DFT, PBE
State: optimized geometry

a = 8.055 Å, b = 8.056 Å, c = 8.074 Å
α = 119.92°, β = 90.00°, γ = 120.00°
Element x y z (fractional)
Se: 0.748 0.496 0.744
Se: 0.753 0.505 0.257
Se: 0.252 0.504 0.256
Tm: 0.500 0.500 0.500
Tm: 0.000 0.500 0.500
Li: 0.000 0.000 0.500
Tb: 0.500 0.500 0.000
Tm: 0.500 0.000 0.500
Se: 0.748 0.996 0.743
Se: 0.247 0.495 0.743
Se: 0.247 0.996 0.743
Se: 0.753 0.004 0.257
Tb: 0.000 0.500 0.000
Tb: 0.000 0.000 0.000
Se: 0.252 0.004 0.257

Raw formation energy in eV per atom: -1.776


No. 2
Material: ThAl2Tl
Method: DFT, PBE
State: optimized geometry

a = 4.451 Å, b = 4.630 Å, c = 4.630 Å
α = 90.00°, β = 90.00°, γ = 90.00°
Element x y z (fractional)
Th: 0.500 0.500 0.500
Tl: 0.500 0.000 0.000
Al: 0.000 0.000 0.500
Al: 0.000 0.500 0.000

Energy in eV per atom: -4.51